A relaxed HfTaTi2 crystal, computed with GGA-PBE.

The structure belongs to space group P2_1/m (No. 11); the cell edges are 5.6429, 4.6108 and 5.9015 Å and the angles 90.00°, 102.22° and 90.00°. The inequivalent atoms are Hf at (0.1562, 0.2500, 0.4279), Ta at (0.1329, 0.2500, 0.9271), Ti at (0.3682, 0.7500, 0.2178) and Ti at (0.3699, 0.7500, 0.7520).

For the total energy, the calculation gives -9.334 eV per atom. The calculation puts the formation energy at 0.065 eV/atom.